# GGA+U Na2VPbF6, relaxed
data_Na2VPbF6
_chemical_formula_sum 'Na4 V2 Pb2 F12'
_space_group_name_H-M_alt 'C 1 2/m 1'
_space_group_IT_number 12
_space_group_name_Hall '-C 2y'
_cell_length_a 11.344
_cell_length_b 5.757
_cell_length_c 5.397
_cell_angle_alpha 90.00
_cell_angle_beta 112.00
_cell_angle_gamma 90.00
loop_
_atom_site_label
_atom_site_fract_x
_atom_site_fract_y
_atom_site_fract_z
Na1 0.249 0.000 0.203
V1 0.000 0.500 0.000
Pb1 0.000 0.000 0.500
F1 0.106 0.260 0.908
F2 0.120 0.500 0.368
# Calculated volume = 16.34 Å³/atom
# E_tot = -5.02 eV/atom